1.
A geometry-optimized TaAs2W structure, computed with GGA-PBE.

```
TaAs2W
1.0
-4.272 -1.400 -0.848
-0.788 -3.073 -3.297
-1.272 -4.256 1.096
As W Ta
2 1 1
direct
0.000 0.000 0.000
0.250 0.250 0.250
0.750 0.750 0.750
0.500 0.500 0.500
```

Values from the calculation:
uncorrected energy = -8.130 eV per atom
formation energy from the elements = 0.3966 eV per atom

=====

2.
A geometry-optimized TaAsW2 structure, computed with GGA-PBE.

```
TaAsW2
1.0
4.489 -0.033 0.000
-0.623 4.446 0.000
0.000 0.000 3.283
As W Ta
1 2 1
direct
0.500 0.000 0.500
0.000 0.000 0.000
0.500 0.500 0.000
0.000 0.500 0.500
```

Values from the calculation:
uncorrected energy = -10.340 eV per atom
formation energy from the elements = 0.2619 eV per atom

=====

3.
A geometry-optimized TaAs2W structure, computed with GGA-PBE.

```
TaAs2W
1.0
-3.329 -0.274 -0.216
0.058 -2.480 2.247
-0.608 3.941 4.366
As W Ta
2 1 1
direct
0.000 0.000 0.971
0.500 0.500 0.280
0.500 0.500 0.780
0.000 0.000 0.469
```

Values from the calculation:
uncorrected energy = -8.712 eV per atom
formation energy from the elements = -0.1862 eV per atom

=====

4.
A geometry-optimized TaAsW structure, computed with GGA-PBE.

```
TaAsW
1.0
-4.900 -2.541 -1.919
-1.413 -4.569 -3.358
3.135 2.291 4.367
As W Ta
1 1 1
direct
0.010 0.010 0.000
0.645 0.645 0.000
0.345 0.345 0.000
```

Values from the calculation:
uncorrected energy = -9.601 eV per atom
formation energy from the elements = 0.2172 eV per atom

=====

5.
A geometry-optimized TaAsW2 structure, computed with GGA-PBE.

```
TaAsW2
1.0
8.990 -0.001 -0.001
8.503 2.918 -0.001
8.503 1.418 2.551
As W Ta
1 2 1
direct
0.250 0.250 0.250
0.993 0.993 0.993
0.507 0.507 0.507
0.750 0.750 0.750
```

Values from the calculation:
uncorrected energy = -10.201 eV per atom
formation energy from the elements = 0.4007 eV per atom

=====

6.
A geometry-optimized TaAsW2 structure, computed with GGA-PBE.

```
TaAsW2
1.0
-3.559 -2.762 -0.672
0.424 -1.186 2.631
-2.864 2.920 3.165
As W Ta
1 2 1
direct
0.000 0.314 0.496
0.000 0.032 0.023
0.500 0.332 0.237
0.500 0.822 0.744
```

Values from the calculation:
uncorrected energy = -10.425 eV per atom
formation energy from the elements = 0.1775 eV per atom

=====

7.
A geometry-optimized TaAsW2 structure, computed with GGA-PBE.

```
TaAsW2
1.0
-2.901 1.693 0.070
-0.350 -0.462 -3.310
-2.871 -4.963 0.997
As W Ta
1 2 1
direct
0.500 0.500 0.250
0.000 0.000 0.010
0.000 0.000 0.490
0.500 0.500 0.750
```

Values from the calculation:
uncorrected energy = -10.392 eV per atom
formation energy from the elements = 0.2101 eV per atom

=====

8.
A geometry-optimized Ta2AsW structure, computed with GGA-PBE.

```
Ta2AsW
1.0
-1.287 -2.684 -0.154
1.544 -0.878 2.394
-5.743 2.488 4.617
As W Ta
1 1 2
direct
0.500 0.500 0.731
0.000 0.000 0.538
0.000 0.000 0.968
0.500 0.500 0.262
```

Values from the calculation:
uncorrected energy = -10.072 eV per atom
formation energy from the elements = 0.2554 eV per atom

=====

9.
A geometry-optimized TaAsW2 structure, computed with GGA-PBE.

```
TaAsW2
1.0
5.285 0.003 -0.001
2.454 4.681 0.001
-3.472 -2.998 2.624
As W Ta
1 2 1
direct
0.507 0.507 0.000
0.995 0.995 0.000
0.748 0.248 0.500
0.250 0.750 0.500
```

Values from the calculation:
uncorrected energy = -10.417 eV per atom
formation energy from the elements = 0.1853 eV per atom

=====

10.
A geometry-optimized Ta5As2W structure, computed with GGA-PBE.

```
Ta5As2W
1.0
3.245 0.000 -0.645
-0.564 6.032 -2.838
-0.205 -0.222 7.456
Ta As W
5 2 1
direct
0.000 0.500 0.000
0.624 0.361 0.249
0.376 0.639 0.751
0.624 0.888 0.249
0.376 0.112 0.751
0.213 0.713 0.425
0.787 0.287 0.575
0.000 0.000 0.000
```

Values from the calculation:
uncorrected energy = -10.442 eV per atom
formation energy from the elements = -0.2527 eV per atom

=====

11.
A geometry-optimized TaAs2W structure, computed with GGA-PBE.

```
TaAs2W
1.0
8.114 -0.016 -0.010
7.517 3.055 -0.010
7.517 1.461 2.683
As W Ta
2 1 1
direct
0.003 0.003 0.003
0.497 0.497 0.497
0.750 0.750 0.750
0.250 0.250 0.250
```

Values from the calculation:
uncorrected energy = -8.291 eV per atom
formation energy from the elements = 0.2349 eV per atom

=====

12.
A geometry-optimized TaAs2W structure, computed with GGA-PBE.

```
TaAs2W
1.0
4.907 0.009 0.000
1.430 4.694 0.000
-3.169 -2.352 2.917
As W Ta
2 1 1
direct
0.000 0.000 0.000
0.250 0.750 0.500
0.750 0.250 0.500
0.500 0.500 0.000
```

Values from the calculation:
uncorrected energy = -8.210 eV per atom
formation energy from the elements = 0.3161 eV per atom

=====

13.
A geometry-optimized TaAsW structure, computed with GGA-PBE.

```
TaAsW
1.0
6.630 0.002 -0.002
5.752 2.816 -0.008
0.878 -0.766 2.708
As W Ta
1 1 1
direct
0.001 0.001 0.999
0.662 0.662 0.338
0.337 0.337 0.663
```

Values from the calculation:
uncorrected energy = -9.667 eV per atom
formation energy from the elements = 0.1517 eV per atom

=====

14.
A geometry-optimized TaAsW2 structure, computed with GGA-PBE.

```
TaAsW2
1.0
8.136 -0.016 -0.010
7.526 3.092 -0.010
7.526 1.478 2.716
As W Ta
1 2 1
direct
0.502 0.502 0.502
0.999 0.999 0.999
0.248 0.248 0.248
0.751 0.751 0.751
```

Values from the calculation:
uncorrected energy = -10.295 eV per atom
formation energy from the elements = 0.3071 eV per atom

=====

15.
A geometry-optimized Ta2AsW structure, computed with GGA-PBE.

```
Ta2AsW
1.0
3.419 0.000 0.000
0.000 3.419 0.000
0.000 0.000 5.810
As W Ta
1 1 2
direct
0.500 0.500 0.752
0.000 0.000 0.505
0.000 0.000 0.987
0.500 0.500 0.256
```

Values from the calculation:
uncorrected energy = -10.303 eV per atom
formation energy from the elements = 0.0242 eV per atom

=====

16.
A geometry-optimized Ta2AsW structure, computed with GGA-PBE.

```
Ta2AsW
1.0
8.273 0.010 0.006
7.655 3.139 0.006
7.655 1.513 2.750
As W Ta
1 1 2
direct
0.753 0.753 0.753
0.495 0.495 0.495
0.004 0.004 0.004
0.248 0.248 0.248
```

Values from the calculation:
uncorrected energy = -10.121 eV per atom
formation energy from the elements = 0.2063 eV per atom

=====

17.
A geometry-optimized Ta2AsW structure, computed with GGA-PBE.

```
Ta2AsW
1.0
3.382 0.000 0.000
0.000 3.382 0.000
0.000 0.000 5.926
As W Ta
1 1 2
direct
0.500 0.500 0.750
0.500 0.500 0.250
0.000 0.000 0.996
0.000 0.000 0.504
```

Values from the calculation:
uncorrected energy = -10.382 eV per atom
formation energy from the elements = -0.0550 eV per atom

=====

18.
A geometry-optimized TaAs2W structure, computed with GGA-PBE.

```
TaAs2W
1.0
2.895 0.010 0.000
-0.870 2.762 0.000
0.000 0.000 9.898
As W Ta
2 1 1
direct
0.000 0.000 0.935
0.500 0.500 0.311
0.500 0.500 0.739
0.000 0.000 0.514
```

Values from the calculation:
uncorrected energy = -8.535 eV per atom
formation energy from the elements = -0.0090 eV per atom

=====

19.
A geometry-optimized TaAsW2 structure, computed with GGA-PBE.

```
TaAsW2
1.0
5.392 0.001 0.028
4.389 3.132 0.028
1.680 0.538 3.895
As W Ta
1 2 1
direct
0.750 0.750 0.750
0.998 0.998 0.002
0.502 0.502 0.498
0.250 0.250 0.250
```

Values from the calculation:
uncorrected energy = -10.428 eV per atom
formation energy from the elements = 0.1746 eV per atom

=====

20.
A geometry-optimized Ta2AsW structure, computed with GGA-PBE.

```
Ta2AsW
1.0
5.163 -0.002 0.000
1.969 4.773 0.000
-3.098 -3.085 2.746
As W Ta
1 1 2
direct
0.250 0.750 0.500
0.750 0.250 0.500
0.001 0.001 0.000
0.499 0.499 0.000
```

Values from the calculation:
uncorrected energy = -10.287 eV per atom
formation energy from the elements = 0.0402 eV per atom

=====

21.
A geometry-optimized TaAs2W structure, computed with GGA-PBE.

```
TaAs2W
1.0
3.986 0.000 0.000
0.000 3.986 0.000
1.993 1.993 9.087
As W Ta
4 2 2
direct
0.634 0.125 0.250
0.116 0.625 0.250
0.375 0.366 0.750
0.875 0.884 0.750
0.000 0.000 0.000
0.750 0.250 0.500
0.500 0.500 0.000
0.250 0.750 0.500
```

Values from the calculation:
uncorrected energy = -8.114 eV per atom
formation energy from the elements = 0.4121 eV per atom

=====

22.
A geometry-optimized Ta2AsW structure, computed with GGA-PBE.

```
Ta2AsW
1.0
-2.026 -3.968 1.324
2.556 -0.971 0.999
0.016 1.655 4.984
As W Ta
1 1 2
direct
0.500 0.539 0.749
0.000 0.586 0.486
0.000 0.068 0.994
0.500 0.307 0.271
```

Values from the calculation:
uncorrected energy = -10.264 eV per atom
formation energy from the elements = 0.0630 eV per atom

=====

23.
A geometry-optimized TaAs2W structure, computed with GGA-PBE.

```
TaAs2W
1.0
-0.043 -1.485 4.882
4.830 -0.354 1.608
-3.425 3.326 -1.803
As W Ta
2 1 1
direct
0.010 0.010 0.000
0.490 0.490 0.000
0.250 0.750 0.500
0.750 0.250 0.500
```

Values from the calculation:
uncorrected energy = -8.175 eV per atom
formation energy from the elements = 0.3508 eV per atom

=====

24.
A geometry-optimized Ta2AsW structure, computed with GGA-PBE.

```
Ta2AsW
1.0
5.245 -0.014 0.005
2.198 4.762 -0.005
-3.275 -3.074 2.708
As W Ta
1 1 2
direct
0.256 0.756 0.500
0.499 0.499 0.000
0.002 0.002 0.000
0.743 0.243 0.500
```

Values from the calculation:
uncorrected energy = -10.297 eV per atom
formation energy from the elements = 0.0301 eV per atom

=====

25.
A geometry-optimized TaAsW2 structure, computed with GGA-PBE.

```
TaAsW2
1.0
2.906 -0.008 0.000
-1.012 2.724 0.000
0.000 0.000 8.429
As W Ta
1 2 1
direct
0.500 0.500 0.250
0.000 0.000 0.010
0.000 0.000 0.490
0.500 0.500 0.750
```

Values from the calculation:
uncorrected energy = -10.375 eV per atom
formation energy from the elements = 0.2268 eV per atom

=====

26.
A geometry-optimized TaAs2W structure, computed with GGA-PBE.

```
TaAs2W
1.0
4.823 0.000 0.000
0.000 3.183 -0.001
0.000 0.002 4.380
As W Ta
2 1 1
direct
0.000 0.875 0.989
0.500 0.375 0.260
0.500 0.875 0.745
0.000 0.375 0.505
```

Values from the calculation:
uncorrected energy = -8.504 eV per atom
formation energy from the elements = 0.0218 eV per atom

=====

27.
A geometry-optimized Ta2AsW structure, computed with GGA-PBE.

```
Ta2AsW
1.0
9.571 0.011 0.006
9.127 2.884 0.006
9.127 1.413 2.514
As W Ta
1 1 2
direct
0.750 0.750 0.750
0.250 0.250 0.250
0.004 0.004 0.004
0.496 0.496 0.496
```

Values from the calculation:
uncorrected energy = -10.057 eV per atom
formation energy from the elements = 0.2705 eV per atom

=====

28.
A geometry-optimized Ta2AsW structure, computed with GGA-PBE.

```
Ta2AsW
1.0
-2.137 0.606 1.803
-1.554 -2.119 -1.129
3.224 -5.360 5.623
As W Ta
1 1 2
direct
0.500 0.500 0.750
0.500 0.500 0.250
0.000 0.000 0.988
0.000 0.000 0.512
```

Values from the calculation:
uncorrected energy = -10.091 eV per atom
formation energy from the elements = 0.2356 eV per atom

=====

29.
A geometry-optimized TaAsW2 structure, computed with GGA-PBE.

```
TaAsW2
1.0
3.305 0.000 0.000
0.000 3.305 0.000
0.000 0.000 6.058
As W Ta
1 2 1
direct
0.000 0.000 0.506
0.000 0.000 0.019
0.500 0.500 0.244
0.500 0.500 0.731
```

Values from the calculation:
uncorrected energy = -10.443 eV per atom
formation energy from the elements = 0.1594 eV per atom

=====

30.
A geometry-optimized Ta2AsW structure, computed with GGA-PBE.

```
Ta2AsW
1.0
-2.072 4.717 1.202
-3.701 -3.389 -1.677
-1.524 -0.546 2.401
As W Ta
1 1 2
direct
0.000 0.500 0.500
0.500 0.000 0.500
0.000 0.000 0.000
0.500 0.500 0.000
```

Values from the calculation:
uncorrected energy = -10.176 eV per atom
formation energy from the elements = 0.1508 eV per atom

=====

Number 1: spin magnetization 0.00 μB/cell. Number 2: spin magnetization 0.00 μB/cell. Number 3: spin magnetization 0.00 μB/cell. Number 4: spin magnetization 0.00 μB/cell. Number 5: spin magnetization 0.00 μB/cell. Number 6: spin magnetization 0.00 μB/cell. Number 7: spin magnetization 0.00 μB/cell. Number 8: spin magnetization 0.00 μB/cell. Number 9: spin magnetization 0.00 μB/cell. Number 10: spin magnetization 0.00 μB/cell. Number 11: spin magnetization 0.00 μB/cell. Number 12: spin magnetization 0.00 μB/cell. Number 13: spin magnetization 0.00 μB/cell. Number 14: spin magnetization 0.00 μB/cell. Number 15: spin magnetization 0.00 μB/cell. Number 16: spin magnetization 0.00 μB/cell. Number 17: spin magnetization 0.00 μB/cell. Number 18: spin magnetization 0.00 μB/cell. Number 19: spin magnetization 0.00 μB/cell. Number 20: spin magnetization 0.00 μB/cell. Number 21: spin magnetization 0.00 μB/cell. Number 22: spin magnetization 0.00 μB/cell. Number 23: spin magnetization 0.00 μB/cell. Number 24: spin magnetization 0.00 μB/cell. Number 25: spin magnetization 0.00 μB/cell. Number 26: spin magnetization 0.00 μB/cell. Number 27: spin magnetization 0.00 μB/cell. Number 28: spin magnetization 0.00 μB/cell. Number 29: spin magnetization 0.00 μB/cell. Number 30: spin magnetization 0.00 μB/cell.